{
  "formula": "Ac2La2Tb",
  "functional": "PBE-GGA",
  "state": "optimized geometry",
  "n_ef_per_ev_cell": 8.6,
  "final_energy_ev_per_cell": -20.6,
  "density_g_cm3": 7.10,
  "volume_a3_per_atom": 41.692,
  "polymorph_energy_ev_per_fu": 0.00,
  "cell": [[-2.495, 2.495, 8.373], [2.495, -2.495, 8.373], [2.495, 2.495, -8.373]],
  "species": ["Ac", "Ac", "La", "La", "Tb"],
  "frac_coords": [[0.250, 0.750, 0.500], [0.750, 0.250, 0.500], [0.090, 0.090, 0.000], [0.910, 0.910, 0.000], [0.500, 0.500, 0.000]]
}